# Zr5TlS8 PBE optimized geometry
# E = -7.0443 eV/atom
# Formation energy (no corrections) = -1.464 eV/atom
data_Zr5TlS8
_chemical_formula_sum 'Zr10 Tl2 S16'
_symmetry_space_group_name_H-M 'C 1 2/m 1'
_symmetry_Int_Tables_number 12
_cell_length_a 18.637
_cell_length_b 3.611
_cell_length_c 9.582
_cell_angle_alpha 90.00
_cell_angle_beta 104.26
_cell_angle_gamma 90.00
loop_
_symmetry_equiv_pos_as_xyz
'x,y,z'
'-x,-y,-z'
'-x,y,-z'
'x,-y,z'
'x+1/2,y+1/2,z'
'-x+1/2,-y+1/2,-z'
'-x+1/2,y+1/2,-z'
'x+1/2,-y+1/2,z'
loop_
_atom_site_label
_atom_site_fract_x
_atom_site_fract_y
_atom_site_fract_z
_atom_site_occupancy
Zr1 0.000 0.000 0.000 1
Zr2 0.166 0.500 0.992 1
Zr3 0.207 0.500 0.351 1
Tl1 0.000 0.500 0.500 1
S1 0.077 0.500 0.164 1
S2 0.089 0.000 0.829 1
S3 0.159 0.000 0.497 1
S4 0.242 0.000 0.174 1